Entry 1:
Entry from Alexandria via LeMat-Bulk: a relaxed Nd6TlCo2Br3 crystal (GGA-PBE).

Summary:
Total magnetization: 0.0 μB/cell
Energy: -4.906 eV per atom
SG: C2/m, No. 12
ΔE_f (raw): -0.722 eV per atom

Cell lengths 10.359, 10.359, 9.221 Å; angles 107.24, 107.24, 22.39 degrees
Element x y z (fractional)
Nd 0.039 0.039 0.277
Nd 0.314 0.314 0.430
Nd 0.333 0.333 0.859
Nd 0.667 0.667 0.141
Nd 0.686 0.686 0.570
Nd 0.961 0.961 0.723
Tl 0.500 0.500 0.000
Co 0.174 0.174 0.351
Co 0.826 0.826 0.649
Br 0.172 0.172 0.846
Br 0.500 0.500 0.500
Br 0.828 0.828 0.154

=====

Entry 2:
Entry from Alexandria via LeMat-Bulk: a relaxed MnCdSb2S crystal (GGA-PBE).

Summary:
Total magnetization: 1.3 μB/cell
Energy: -4.321 eV per atom
SG: P4/mmm, No. 123
ΔE_f (raw): 0.170 eV per atom

Cell lengths 5.363, 5.363, 4.119 Å; angles 90.00, 90.00, 90.00 degrees
Element x y z (fractional)
Mn 0.000 0.000 0.000
Cd 0.500 0.500 0.500
Sb 0.000 0.500 0.000
Sb 0.500 0.000 0.000
S 0.000 0.000 0.500

=====

Entry 3:
Entry from Alexandria via LeMat-Bulk: a relaxed Rb2TmUS6 crystal (GGA-PBE).

Summary:
Total magnetization: 0.0 μB/cell
Energy: -5.597 eV per atom
SG: Pmmn, No. 59
ΔE_f (raw): -1.351 eV per atom

Cell lengths 7.373, 10.426, 7.373 Å; angles 90.00, 90.00, 90.00 degrees
Element x y z (fractional)
Rb 0.250 0.000 0.250
Rb 0.250 0.500 0.250
Rb 0.750 0.000 0.750
Rb 0.750 0.500 0.750
Tm 0.250 0.250 0.750
Tm 0.750 0.750 0.250
U 0.250 0.750 0.749
U 0.750 0.250 0.251
S 0.006 0.750 0.506
S 0.006 0.750 0.993
S 0.250 0.506 0.750
S 0.250 0.994 0.750
S 0.494 0.750 0.506
S 0.494 0.750 0.993
S 0.506 0.250 0.007
S 0.506 0.250 0.494
S 0.750 0.006 0.250
S 0.750 0.494 0.250
S 0.994 0.250 0.007
S 0.994 0.250 0.494

=====

Entry 4:
Entry from Alexandria via LeMat-Bulk: a relaxed ZrScV4 crystal (GGA-PBE).

Summary:
Calculated formation energy: 0.147 eV/atom
Total magnetization: 0.0 μB/cell
Energy: -8.412 eV per atom
SG: F-43m, No. 216

Cell lengths 5.210, 5.210, 5.210 Å; angles 60.00, 60.00, 60.00 degrees
Element x y z (fractional)
Zr 0.000 0.000 0.000
Sc 0.250 0.250 0.250
V 0.124 0.625 0.625
V 0.625 0.124 0.625
V 0.625 0.625 0.124
V 0.625 0.625 0.625

=====

Entry 5:
Entry from Alexandria via LeMat-Bulk: a relaxed InHg5Bi crystal (GGA-PBE).

Summary:
Calculated formation energy: 0.058 eV/atom
Total magnetization: 0.0 μB/cell
Energy: -1.103 eV per atom
SG: P4/mmm, No. 123

Cell lengths 4.962, 4.962, 8.230 Å; angles 90.00, 90.00, 90.00 degrees
Element x y z (fractional)
In 0.000 0.000 0.000
Hg 0.000 0.500 0.260
Hg 0.000 0.500 0.740
Hg 0.500 0.000 0.260
Hg 0.500 0.000 0.740
Hg 0.500 0.500 0.000
Bi 0.000 0.000 0.500

=====

Entry 6:
Entry from Alexandria via LeMat-Bulk: a relaxed ZnReSe2 crystal (GGA-PBE).

Summary:
E above lowest polymorph: 0.00 kcal/mol of atoms
Total magnetization: 0.0 μB/cell
Energy: -5.096 eV per atom
SG: Cm, No. 8
ΔE_f (raw): 0.077 eV per atom

Cell lengths 5.081, 5.081, 6.789 Å; angles 111.82, 111.82, 35.48 degrees
Element x y z (fractional)
Zn 0.000 0.000 0.000
Re 0.728 0.728 0.022
Se 0.241 0.241 0.746
Se 0.394 0.394 0.293

=====

Entry 7:
Entry from Alexandria via LeMat-Bulk: a relaxed Tl3PF crystal (GGA-PBE).

Summary:
E above lowest polymorph: 0.00 kcal/mol of atoms
Total magnetization: 0.3 μB/cell
Energy: -3.180 eV per atom
SG: Pm-3m, No. 221
ΔE_f (raw): -0.304 eV per atom

Cell lengths 5.173, 5.173, 5.173 Å; angles 90.00, 90.00, 90.00 degrees
Element x y z (fractional)
Tl 0.000 0.000 0.500
Tl 0.000 0.500 0.000
Tl 0.500 0.000 0.000
P 0.500 0.500 0.500
F 0.000 0.000 0.000

=====

Entry 8:
Entry from Alexandria via LeMat-Bulk: a relaxed Mg6AlAg2 crystal (GGA-PBE).

Summary:
Calculated formation energy: -0.089 eV/atom
Total magnetization: 0.0 μB/cell
Energy: -2.202 eV per atom
SG: Immm, No. 71

Cell lengths 7.932, 7.932, 7.932 Å; angles 115.42, 110.26, 102.97 degrees
Element x y z (fractional)
Mg 0.049 0.837 0.213
Mg 0.253 0.562 0.310
Mg 0.253 0.943 0.690
Mg 0.289 0.313 0.602
Mg 0.289 0.687 0.976
Mg 0.376 0.163 0.213
Mg 0.624 0.837 0.787
Mg 0.711 0.313 0.024
Mg 0.711 0.687 0.398
Mg 0.747 0.057 0.310
Mg 0.747 0.438 0.690
Mg 0.951 0.163 0.787
Al 0.000 0.500 0.500
Al 0.500 0.000 0.500
Ag 0.000 0.174 0.174
Ag 0.000 0.826 0.826
Ag 0.358 0.358 0.000
Ag 0.642 0.642 0.000

=====

no.,Fermi-level density of states (states/eV/atom)
1,0.48
2,0.67
3,0.65
4,2.73
5,0.49
6,0.52
7,0.70
8,0.32